Computed, not measured: an optimized crystal structure of K2AgAs at the GGA-PBEsol level of DFT.

The total moment is 0.00 μB/f.u. The space group is Pmmm, No. 47. The energy of formation is 0.060 eV per atom. The electronic total energy is -10.4 eV per cell.

Lattice parameters (Å, degrees): 3.3861 4.9581 6.1659 90.00 90.00 90.00
Last column: nearest neighbours and their distance in Å.
Fractional positions:
K1 0.0000 0.0000 0.2406  2 K 2.97-3.20
K2 0.0000 0.0000 0.7594  2 K 2.97-3.20
Ag1 0.5000 0.5000 0.5000  2 As 3.08, 2 Ag 3.39, 8 K 3.40
As1 0.5000 0.5000 0.0000  2 Ag 3.08, 8 K 3.35, 2 As 3.39